# CoW (meta-GGA SCAN, single point on PBEsol structure)
data_CoW
_chemical_formula_sum 'Co6 W6'
_cell_length_a 9.715
_cell_length_b 2.652
_cell_length_c 6.220
_cell_angle_alpha 90.00
_cell_angle_beta 105.58
_cell_angle_gamma 90.00
_symmetry_space_group_name_H-M 'C 1 m 1'
_symmetry_Int_Tables_number 8
loop_
_symmetry_equiv_pos_as_xyz
'x,y,z'
'x,-y,z'
'x+1/2,y+1/2,z'
'x+1/2,-y+1/2,z'
loop_
_atom_site_label
_atom_site_fract_x
_atom_site_fract_y
_atom_site_fract_z
Co1 0.000 0.000 0.000
Co2 0.064 0.000 0.603
Co3 0.174 0.500 0.337
W1 0.204 0.500 0.943
W2 0.342 0.000 0.665
W3 0.406 0.000 0.275
# Formation energy from the elements ... 0.290 eV per atom
# VASP energy ... -518.48 eV for the cell shown

# Ta3BCl (meta-GGA SCAN, single point on PBEsol structure)
data_Ta3BCl
_chemical_formula_sum 'Ta3 B1 Cl1'
_cell_length_a 4.367
_cell_length_b 4.367
_cell_length_c 4.367
_cell_angle_alpha 90.00
_cell_angle_beta 90.00
_cell_angle_gamma 90.00
_symmetry_space_group_name_H-M 'P m -3 m'
_symmetry_Int_Tables_number 221
_symmetry_space_group_name_Hall '-P 4 2 3'
loop_
_atom_site_label
_atom_site_fract_x
_atom_site_fract_y
_atom_site_fract_z
Ta1 0.000 0.000 0.500
B1 0.000 0.000 0.000
Cl1 0.500 0.500 0.500
# VASP energy ... -210.90 eV for the cell shown
# Distance to the lowest polymorph of the same formula ... 0 meV/atom

# KSrPb2 (meta-GGA SCAN, single point on PBEsol structure)
data_KSrPb2
_chemical_formula_sum 'K2 Sr2 Pb4'
_cell_length_a 5.001
_cell_length_b 5.001
_cell_length_c 10.257
_cell_angle_alpha 90.00
_cell_angle_beta 90.00
_cell_angle_gamma 90.00
_symmetry_space_group_name_H-M 'I 4/m m m'
_symmetry_Int_Tables_number 139
_symmetry_space_group_name_Hall '-I 4 2'
loop_
_atom_site_label
_atom_site_fract_x
_atom_site_fract_y
_atom_site_fract_z
K1 0.000 0.000 0.000
Sr1 0.000 0.000 0.500
Pb1 0.000 0.500 0.250
# Formation energy from the elements ... -0.424 eV per atom
# VASP energy ... -367.72 eV for the cell shown
# Distance to the lowest polymorph of the same formula ... 30 meV/atom

# LaMoS3 (meta-GGA SCAN, single point on PBEsol structure)
data_LaMoS3
_chemical_formula_sum 'La1 Mo1 S3'
_cell_length_a 5.352
_cell_length_b 5.352
_cell_length_c 5.352
_cell_angle_alpha 90.00
_cell_angle_beta 90.00
_cell_angle_gamma 90.00
_symmetry_space_group_name_H-M 'P m -3 m'
_symmetry_Int_Tables_number 221
_symmetry_space_group_name_Hall '-P 4 2 3'
loop_
_atom_site_label
_atom_site_fract_x
_atom_site_fract_y
_atom_site_fract_z
La1 0.000 0.000 0.000
Mo1 0.500 0.500 0.500
S1 0.000 0.000 0.500
# VASP energy ... -105.75 eV for the cell shown

# BaGa3Pb (meta-GGA SCAN, single point on PBEsol structure)
data_BaGa3Pb
_chemical_formula_sum 'Ba1 Ga3 Pb1'
_cell_length_a 5.694
_cell_length_b 5.694
_cell_length_c 5.694
_cell_angle_alpha 90.00
_cell_angle_beta 90.00
_cell_angle_gamma 90.00
_symmetry_space_group_name_H-M 'P m -3 m'
_symmetry_Int_Tables_number 221
_symmetry_space_group_name_Hall '-P 4 2 3'
loop_
_atom_site_label
_atom_site_fract_x
_atom_site_fract_y
_atom_site_fract_z
Ba1 0.000 0.000 0.000
Ga1 0.000 0.000 0.500
Pb1 0.500 0.500 0.500
# Formation energy from the elements ... 0.980 eV per atom
# VASP energy ... -159.47 eV for the cell shown

# Ce2Dy2O7 (meta-GGA SCAN, single point on PBEsol structure)
data_Ce2Dy2O7
_chemical_formula_sum 'Ce2 Dy2 O7'
_cell_length_a 3.798
_cell_length_b 3.798
_cell_length_c 10.718
_cell_angle_alpha 90.00
_cell_angle_beta 90.00
_cell_angle_gamma 90.00
_symmetry_space_group_name_H-M 'P -4 m 2'
_symmetry_Int_Tables_number 115
loop_
_symmetry_equiv_pos_as_xyz
'x,y,z'
'y,-x,-z'
'-x,-y,z'
'-y,x,-z'
'-x,y,z'
'-y,-x,-z'
'x,-y,z'
'y,x,-z'
loop_
_atom_site_label
_atom_site_fract_x
_atom_site_fract_y
_atom_site_fract_z
Ce1 0.000 0.500 0.126
Dy1 0.000 0.500 0.639
O1 0.000 0.000 0.000
O2 0.000 0.000 0.267
O3 0.500 0.500 0.000
O4 0.500 0.500 0.242
O5 0.500 0.500 0.500
# VASP energy ... -269.55 eV for the cell shown
# Distance to the lowest polymorph of the same formula ... 25 meV/atom